(1)
The following is a DFT calculation (PBE) of a relaxed structure of Pr2SmDy4Er2.

* theoretical density: 7.978 g/cm³
* SG: P-1
* electronic total energy: -0.1677 hartree per atom
* formation enthalpy at 0 K: 0.08 eV/atom
* crystal system: triclinic

a = 6.031 Å, b = 6.638 Å, c = 8.602 Å
α = 79.89°, β = 70.52°, γ = 65.37°
Element x y z (fractional)
Pr (0.230, 0.327, 0.342)
Pr (0.770, 0.673, 0.658)
Sm (0.500, 0.000, 0.000)
Dy (0.118, 0.127, 0.761)
Dy (0.239, 0.577, 0.885)
Dy (0.761, 0.423, 0.115)
Dy (0.882, 0.873, 0.239)
Er (0.322, 0.770, 0.445)
Er (0.678, 0.230, 0.555)

(2)
The following is a DFT calculation (PBE) of a relaxed structure of BaYRh2.

* theoretical density: 7.678 g/cm³
* SG: I-4m2
* electronic total energy: -0.2133 hartree per atom
* formation enthalpy at 0 K: -0.03 eV/atom
* crystal system: tetragonal

a = 6.162 Å, b = 6.162 Å, c = 6.162 Å
α = 140.61°, β = 140.61°, γ = 56.92°
Element x y z (fractional)
Ba (0.000, 0.000, 0.000)
Y (0.750, 0.250, 0.500)
Rh (0.250, 0.750, 0.500)
Rh (0.500, 0.500, 0.000)

(3)
The following is a DFT calculation (PBE) of a relaxed structure of Sc3CdSi.

* theoretical density: 3.596 g/cm³
* SG: Pm-3m
* electronic total energy: -0.1908 hartree per atom
* crystal system: cubic
* offset from the most stable computed form: 0 meV/atom

a = 5.029 Å, b = 5.029 Å, c = 5.029 Å
α = 90.00°, β = 90.00°, γ = 90.00°
Element x y z (fractional)
Sc (0.000, 0.000, 0.500)
Sc (0.000, 0.500, 0.000)
Sc (0.500, 0.000, 0.000)
Cd (0.500, 0.500, 0.500)
Si (0.000, 0.000, 0.000)

(4)
The following is a DFT calculation (PBE) of a relaxed structure of HfMn2ZnH.

* theoretical density: 9.565 g/cm³
* SG: P4/mmm
* electronic total energy: -0.2433 hartree per atom
* crystal system: tetragonal

a = 3.922 Å, b = 3.922 Å, c = 4.003 Å
α = 90.00°, β = 90.00°, γ = 90.00°
Element x y z (fractional)
Hf (0.000, 0.000, 0.000)
Mn (0.000, 0.500, 0.500)
Mn (0.500, 0.000, 0.500)
Zn (0.500, 0.500, 0.000)
H (0.000, 0.000, 0.500)

(5)
The following is a DFT calculation (PBE) of a relaxed structure of MgZrSc2.

* theoretical density: 3.635 g/cm³
* SG: P4/mmm
* electronic total energy: -0.2061 hartree per atom
* formation enthalpy at 0 K: 0.09 eV/atom
* crystal system: tetragonal

a = 5.289 Å, b = 5.289 Å, c = 3.355 Å
α = 90.00°, β = 90.00°, γ = 90.00°
Element x y z (fractional)
Mg (0.000, 0.000, 0.000)
Zr (0.500, 0.500, 0.000)
Sc (0.000, 0.500, 0.500)
Sc (0.500, 0.000, 0.500)

(6)
The following is a DFT calculation (PBE) of a relaxed structure of HoAl3Ga3.

* theoretical density: 5.689 g/cm³
* SG: P6_3/m
* electronic total energy: -0.1371 hartree per atom
* formation enthalpy at 0 K: -0.18 eV/atom
* crystal system: hexagonal
* offset from the most stable computed form: 0 meV/atom

a = 8.334 Å, b = 8.334 Å, c = 4.417 Å
α = 90.00°, β = 90.00°, γ = 120.00°
Element x y z (fractional)
Ho (0.333, 0.667, 0.250)
Ho (0.667, 0.333, 0.750)
Al (0.052, 0.231, 0.250)
Al (0.178, 0.948, 0.250)
Al (0.231, 0.178, 0.750)
Al (0.769, 0.822, 0.250)
Al (0.822, 0.052, 0.750)
Al (0.948, 0.769, 0.750)
Ga (0.078, 0.441, 0.750)
Ga (0.362, 0.922, 0.750)
Ga (0.441, 0.362, 0.250)
Ga (0.559, 0.638, 0.750)
Ga (0.638, 0.078, 0.250)
Ga (0.922, 0.559, 0.250)

(7)
The following is a DFT calculation (PBE) of a relaxed structure of Ba2MgH.

* theoretical density: 3.364 g/cm³
* SG: I-42d
* electronic total energy: -0.0841 hartree per atom
* crystal system: tetragonal
* offset from the most stable computed form: 0 meV/atom

a = 7.280 Å, b = 7.280 Å, c = 7.280 Å
α = 111.25°, β = 111.25°, γ = 105.96°
Element x y z (fractional)
Ba (0.018, 0.625, 0.893)
Ba (0.375, 0.268, 0.393)
Ba (0.732, 0.125, 0.107)
Ba (0.875, 0.982, 0.607)
Mg (0.250, 0.750, 0.500)
Mg (0.500, 0.500, 0.000)
H (0.000, 0.000, 0.000)
H (0.750, 0.250, 0.500)

(8)
The following is a DFT calculation (PBE) of a relaxed structure of InCu2Br.

* theoretical density: 5.805 g/cm³
* SG: Pm
* electronic total energy: -0.1158 hartree per atom
* crystal system: monoclinic
* offset from the most stable computed form: 0 meV/atom

a = 4.335 Å, b = 3.463 Å, c = 6.130 Å
α = 90.00°, β = 90.13°, γ = 90.00°
Element x y z (fractional)
In (0.000, 0.000, 0.000)
Cu (0.500, 0.500, 0.969)
Cu (0.501, 0.000, 0.264)
Br (0.500, 0.500, 0.553)

(9)
The following is a DFT calculation (PBE) of a relaxed structure of Ba4DyPd3O12.

* theoretical density: 6.960 g/cm³
* SG: Im-3m
* electronic total energy: -0.2224 hartree per atom
* crystal system: cubic

a = 7.237 Å, b = 7.237 Å, c = 7.237 Å
α = 109.47°, β = 109.47°, γ = 109.47°
Element x y z (fractional)
Ba (0.000, 0.000, 0.500)
Ba (0.000, 0.500, 0.000)
Ba (0.500, 0.000, 0.000)
Ba (0.500, 0.500, 0.500)
Dy (0.000, 0.000, 0.000)
Pd (0.000, 0.500, 0.500)
Pd (0.500, 0.000, 0.500)
Pd (0.500, 0.500, 0.000)
O (0.000, 0.262, 0.262)
O (0.000, 0.738, 0.738)
O (0.250, 0.500, 0.750)
O (0.250, 0.750, 0.500)
O (0.262, 0.000, 0.262)
O (0.262, 0.262, 0.000)
O (0.500, 0.250, 0.750)
O (0.500, 0.750, 0.250)
O (0.738, 0.000, 0.738)
O (0.738, 0.738, 0.000)
O (0.750, 0.250, 0.500)
O (0.750, 0.500, 0.250)

(10)
The following is a DFT calculation (PBE) of a relaxed structure of CaLa3Ru.

* theoretical density: 5.061 g/cm³
* SG: P2_1/m
* electronic total energy: -0.1973 hartree per atom
* formation enthalpy at 0 K: -0.16 eV/atom
* crystal system: monoclinic
* offset from the most stable computed form: 14 meV/atom

a = 5.664 Å, b = 8.178 Å, c = 7.903 Å
α = 90.00°, β = 90.00°, γ = 90.00°
Element x y z (fractional)
Ca (0.000, 0.250, 0.001)
Ca (0.000, 0.750, 0.999)
La (0.001, 0.750, 0.500)
La (0.500, 0.000, 0.254)
La (0.500, 0.000, 0.746)
La (0.500, 0.500, 0.254)
La (0.500, 0.500, 0.746)
La (0.999, 0.250, 0.500)
Ru (0.498, 0.250, 0.500)
Ru (0.502, 0.750, 0.500)

(11)
The following is a DFT calculation (PBE) of a relaxed structure of RhN4.

* theoretical density: 4.445 g/cm³
* SG: Pm-3m
* electronic total energy: -0.1921 hartree per atom
* crystal system: cubic

a = 3.901 Å, b = 3.901 Å, c = 3.901 Å
α = 90.00°, β = 90.00°, γ = 90.00°
Element x y z (fractional)
Rh (0.000, 0.000, 0.000)
N (0.000, 0.000, 0.500)
N (0.000, 0.500, 0.000)
N (0.500, 0.000, 0.000)
N (0.500, 0.500, 0.500)

(12)
The following is a DFT calculation (PBE) of a relaxed structure of AgSn.

* theoretical density: 7.885 g/cm³
* SG: Amm2
* electronic total energy: -0.1230 hartree per atom
* formation enthalpy at 0 K: 0.08 eV/atom
* crystal system: orthorhombic

a = 3.453 Å, b = 7.100 Å, c = 7.100 Å
α = 124.67°, β = 90.00°, γ = 90.00°
Element x y z (fractional)
Ag (0.000, 0.000, 0.000)
Ag (0.500, 0.599, 0.830)
Ag (0.500, 0.830, 0.599)
Sn (0.000, 0.258, 0.809)
Sn (0.000, 0.419, 0.419)
Sn (0.000, 0.809, 0.258)

(13)
The following is a DFT calculation (PBE) of a relaxed structure of AcGeS4.

* theoretical density: 4.638 g/cm³
* SG: C2/c
* electronic total energy: -0.1882 hartree per atom
* crystal system: monoclinic
* offset from the most stable computed form: 12 meV/atom

a = 8.972 Å, b = 8.972 Å, c = 5.591 Å
α = 104.88°, β = 104.88°, γ = 125.01°
Element x y z (fractional)
Ac (0.114, 0.886, 0.750)
Ac (0.886, 0.114, 0.250)
Ge (0.376, 0.624, 0.250)
Ge (0.624, 0.376, 0.750)
S (0.146, 0.281, 0.918)
S (0.184, 0.592, 0.459)
S (0.281, 0.146, 0.418)
S (0.408, 0.816, 0.041)
S (0.592, 0.184, 0.959)
S (0.719, 0.854, 0.582)
S (0.816, 0.408, 0.541)
S (0.854, 0.719, 0.082)

(14)
The following is a DFT calculation (PBE) of a relaxed structure of SrNb2TeO.

* theoretical density: 5.496 g/cm³
* SG: P4/mmm
* electronic total energy: -0.1907 hartree per atom
* crystal system: tetragonal

a = 5.406 Å, b = 5.406 Å, c = 4.310 Å
α = 90.00°, β = 90.00°, γ = 90.00°
Element x y z (fractional)
Sr (0.000, 0.000, 0.000)
Nb (0.000, 0.500, 0.500)
Nb (0.500, 0.000, 0.500)
Te (0.500, 0.500, 0.500)
O (0.500, 0.500, 0.000)

(15)
The following is a DFT calculation (PBE) of a relaxed structure of Mg2TcHg.

* theoretical density: 7.755 g/cm³
* SG: P4mm
* electronic total energy: -0.1168 hartree per atom
* formation enthalpy at 0 K: 0.28 eV/atom
* crystal system: tetragonal

a = 3.414 Å, b = 3.414 Å, c = 6.379 Å
α = 90.00°, β = 90.00°, γ = 90.00°
Element x y z (fractional)
Mg (0.000, 0.000, 0.000)
Mg (0.500, 0.500, 0.279)
Tc (0.000, 0.000, 0.487)
Hg (0.500, 0.500, 0.746)

(16)
The following is a DFT calculation (PBE) of a relaxed structure of RbNdAu.

* theoretical density: 5.985 g/cm³
* SG: C2/m
* electronic total energy: -0.1180 hartree per atom
* formation enthalpy at 0 K: -0.21 eV/atom
* crystal system: monoclinic

a = 7.015 Å, b = 7.015 Å, c = 9.782 Å
α = 118.16°, β = 118.16°, γ = 34.46°
Element x y z (fractional)
Rb (0.086, 0.086, 0.387)
Rb (0.914, 0.914, 0.613)
Nd (0.346, 0.346, 0.961)
Nd (0.654, 0.654, 0.039)
Au (0.316, 0.316, 0.246)
Au (0.684, 0.684, 0.754)

(17)
The following is a DFT calculation (PBE) of a relaxed structure of K4MnNi.

* theoretical density: 1.727 g/cm³
* SG: F-43m
* electronic total energy: -0.0791 hartree per atom
* formation enthalpy at 0 K: 1.07 eV/atom
* crystal system: cubic

a = 7.161 Å, b = 7.161 Å, c = 7.161 Å
α = 60.00°, β = 60.00°, γ = 60.00°
Element x y z (fractional)
K (0.376, 0.376, 0.376)
K (0.376, 0.376, 0.873)
K (0.376, 0.873, 0.376)
K (0.873, 0.376, 0.376)
Mn (0.000, 0.000, 0.000)
Ni (0.750, 0.750, 0.750)

(18)
The following is a DFT calculation (PBE) of a relaxed structure of Zn2IrOs.

* theoretical density: 14.590 g/cm³
* SG: R3m
* electronic total energy: -0.2063 hartree per atom
* formation enthalpy at 0 K: 0.05 eV/atom
* crystal system: trigonal
* offset from the most stable computed form: 34 meV/atom

a = 9.013 Å, b = 9.013 Å, c = 9.013 Å
α = 17.60°, β = 17.60°, γ = 17.60°
Element x y z (fractional)
Zn (0.000, 0.000, 0.000)
Zn (0.245, 0.245, 0.245)
Ir (0.496, 0.496, 0.496)
Os (0.750, 0.750, 0.750)

(19)
The following is a DFT calculation (PBE) of a relaxed structure of LiP2SI.

* theoretical density: 3.858 g/cm³
* SG: P4/mmm
* electronic total energy: -0.1049 hartree per atom
* crystal system: tetragonal
* offset from the most stable computed form: 472 meV/atom

a = 4.860 Å, b = 4.860 Å, c = 4.152 Å
α = 90.00°, β = 90.00°, γ = 90.00°
Element x y z (fractional)
Li (0.000, 0.000, 0.000)
P (0.000, 0.500, 0.000)
P (0.500, 0.000, 0.000)
S (0.000, 0.000, 0.500)
I (0.500, 0.500, 0.500)

(20)
The following is a DFT calculation (PBE) of a relaxed structure of Si2OsPt.

* theoretical density: 13.339 g/cm³
* SG: I4/mmm
* electronic total energy: -0.2635 hartree per atom
* crystal system: tetragonal

a = 4.449 Å, b = 4.449 Å, c = 4.449 Å
α = 126.55°, β = 126.55°, γ = 78.98°
Element x y z (fractional)
Si (0.250, 0.750, 0.500)
Si (0.750, 0.250, 0.500)
Os (0.000, 0.000, 0.000)
Pt (0.500, 0.500, 0.000)

(21)
The following is a DFT calculation (PBE) of a relaxed structure of LiCoNiIr.

* theoretical density: 10.713 g/cm³
* SG: F-43m
* electronic total energy: -0.2154 hartree per atom
* formation enthalpy at 0 K: 0.05 eV/atom
* crystal system: cubic

a = 4.110 Å, b = 4.110 Å, c = 4.110 Å
α = 60.00°, β = 60.00°, γ = 60.00°
Element x y z (fractional)
Li (0.000, 0.000, 0.000)
Co (0.250, 0.250, 0.250)
Ni (0.750, 0.750, 0.750)
Ir (0.500, 0.500, 0.500)

(22)
The following is a DFT calculation (PBE) of a relaxed structure of CuSbSe.

* theoretical density: 6.629 g/cm³
* SG: F-43m
* electronic total energy: -0.1373 hartree per atom
* crystal system: cubic

a = 4.541 Å, b = 4.541 Å, c = 4.541 Å
α = 60.00°, β = 60.00°, γ = 60.00°
Element x y z (fractional)
Cu (0.000, 0.000, 0.000)
Sb (0.250, 0.250, 0.250)
Se (0.750, 0.750, 0.750)

(23)
The following is a DFT calculation (PBE) of a relaxed structure of Ho5GeP4.

* theoretical density: 7.435 g/cm³
* SG: I4/m
* electronic total energy: -0.2321 hartree per atom
* formation enthalpy at 0 K: -1.40 eV/atom
* crystal system: tetragonal

a = 6.947 Å, b = 6.947 Å, c = 6.947 Å
α = 99.58°, β = 99.58°, γ = 131.84°
Element x y z (fractional)
Ho (0.000, 0.000, 0.000)
Ho (0.193, 0.604, 0.796)
Ho (0.396, 0.193, 0.589)
Ho (0.604, 0.807, 0.411)
Ho (0.807, 0.396, 0.204)
Ge (0.500, 0.500, 0.000)
P (0.101, 0.300, 0.401)
P (0.300, 0.899, 0.200)
P (0.700, 0.101, 0.800)
P (0.899, 0.700, 0.599)

(24)
The following is a DFT calculation (PBE) of a relaxed structure of HfMgZr2H.

* theoretical density: 7.161 g/cm³
* SG: P4/mmm
* electronic total energy: -0.2383 hartree per atom
* crystal system: tetragonal
* offset from the most stable computed form: 45 meV/atom

a = 4.472 Å, b = 4.472 Å, c = 4.479 Å
α = 90.00°, β = 90.00°, γ = 90.00°
Element x y z (fractional)
Hf (0.000, 0.000, 0.000)
Mg (0.500, 0.500, 0.000)
Zr (0.000, 0.500, 0.500)
Zr (0.500, 0.000, 0.500)
H (0.500, 0.500, 0.500)

(25)
The following is a DFT calculation (PBE) of a relaxed structure of ScCu3.

* theoretical density: 6.815 g/cm³
* SG: I4/mmm
* electronic total energy: -0.1771 hartree per atom
* formation enthalpy at 0 K: -0.16 eV/atom
* crystal system: tetragonal

a = 4.618 Å, b = 4.618 Å, c = 4.618 Å
α = 129.34°, β = 129.34°, γ = 74.47°
Element x y z (fractional)
Sc (0.000, 0.000, 0.000)
Cu (0.250, 0.750, 0.500)
Cu (0.500, 0.500, 0.000)
Cu (0.750, 0.250, 0.500)

(26)
The following is a DFT calculation (PBE) of a relaxed structure of BeIr2Os.

* theoretical density: 17.916 g/cm³
* SG: P4/mmm
* electronic total energy: -0.2939 hartree per atom
* formation enthalpy at 0 K: 0.17 eV/atom
* crystal system: tetragonal

a = 3.822 Å, b = 3.822 Å, c = 3.703 Å
α = 90.00°, β = 90.00°, γ = 90.00°
Element x y z (fractional)
Be (0.000, 0.000, 0.000)
Ir (0.000, 0.500, 0.500)
Ir (0.500, 0.000, 0.500)
Os (0.500, 0.500, 0.000)